Entry 1:
# ReIr2W

ReIr2W after structural relaxation (PBE, Alexandria via LeMat-Bulk).

For the density, the calculation gives 20.99 Mg/m³. The value obtained for the energy of formation is -80 kJ/mol of formula units. As for the density of states at the Fermi level: 2.996 states/eV/cell. Its offset from the most stable computed form is 10.90 kJ/mol of atoms.

The space group is P4/mmm (No. 123) and the conventional cell measures 2.7516, 2.7516 and 7.8815 Å, with angles of 90.00, 90.00 and 90.00 degrees. The distinct sites, in fractional coordinates, are Re at (0.0000, 0.0000, 0.0000), Ir at (0.5000, 0.5000, 0.2457) and W at (0.0000, 0.0000, 0.5000).

Entry 2:
# ReIr2W

ReIr2W after structural relaxation (PBE, Alexandria via LeMat-Bulk).

For the density, the calculation gives 20.94 Mg/m³. The value obtained for the energy of formation is -62 kJ/mol of formula units. As for the density of states at the Fermi level: 6.042 states/eV/cell. Its offset from the most stable computed form is 15.60 kJ/mol of atoms.

The space group is I-4m2 (No. 119) and the conventional cell measures 3.9303, 3.9303 and 7.7463 Å, with angles of 90.00, 90.00 and 90.00 degrees. The distinct sites, in fractional coordinates, are Re at (0.0000, 0.0000, 0.0000), Ir at (0.0000, 0.0000, 0.5000), Ir at (0.0000, 0.5000, 0.7500) and W at (0.0000, 0.5000, 0.2500).

Entry 3:
# ReIr2W

ReIr2W after structural relaxation (PBE, Alexandria via LeMat-Bulk).

For the density, the calculation gives 20.87 Mg/m³. The value obtained for the energy of formation is -61 kJ/mol of formula units. As for the density of states at the Fermi level: 5.993 states/eV/cell. Its offset from the most stable computed form is 15.89 kJ/mol of atoms.

The space group is Cm (No. 8) and the conventional cell measures 9.1480, 2.7578 and 4.8318 Å, with angles of 90.00, 99.96 and 90.00 degrees. The distinct sites, in fractional coordinates, are Re at (0.0000, 0.0000, 0.0000), Ir at (0.0014, 0.5000, 0.4912), Ir at (0.2450, 0.5000, 0.2138) and W at (0.2483, 0.0000, 0.7181).

Entry 4:
# ReIrW

ReIrW after structural relaxation (PBE, Alexandria via LeMat-Bulk).

For the density, the calculation gives 20.46 Mg/m³. The value obtained for the energy of formation is -12 kJ/mol of formula units. As for the density of states at the Fermi level: 4.401 states/eV/cell. Its offset from the most stable computed form is 12.28 kJ/mol of atoms.

The space group is Imm2 (No. 44) and the conventional cell measures 2.7249, 3.9746 and 8.4282 Å, with angles of 90.00, 90.00 and 90.00 degrees. The distinct sites, in fractional coordinates, are Re at (0.0000, 0.0000, 0.0000), Ir at (0.0000, 0.0000, 0.3366) and W at (0.0000, 0.0000, 0.6687).